## SrSiCl2 (PBE)

Data for a geometry-optimized SrSiCl2 structure.

a = 4.465 Å, b = 4.465 Å, c = 5.765 Å
α = 90.00°, β = 90.00°, γ = 90.00°
Element x y z (fractional)
Sr 0.000 0.000 0.000
Si 0.500 0.500 0.807
Cl 0.000 0.000 0.497
Cl 0.500 0.500 0.204

Results
- Relative energy among the computed polymorphs: 0.73 eV/f.u.
- Uncorrected formation energy: -76 kJ/mol of atoms
- Space group: P4mm (99)